Entry 1:
The following is a DFT calculation (PBE) of a relaxed structure of SrTcB3.

a b c (Å): 4.2095 4.2095 4.2095
angles (deg): 90.00 90.00 90.00
Fractional coordinates of all 5 atoms:
1 Sr 0.5000 0.5000 0.5000
2 B 0.0000 0.5000 0.0000
3 B 0.0000 0.0000 0.5000
4 B 0.5000 0.0000 0.0000
5 Tc 0.0000 0.0000 0.0000

Computed properties:
* distance to the lowest polymorph of the same formula: 0.0 kJ/mol of atoms
* E_form: 0.252 eV/atom
* symmetry: Pm-3m

***

Entry 2:
The following is a DFT calculation (PBE) of a relaxed structure of Nb4IrRh5.

a b c (Å): 4.8210 5.5837 6.3672
angles (deg): 103.52 105.61 74.96
Fractional coordinates of all 10 atoms:
1 Nb 0.6947 0.3121 0.3817
2 Nb 0.1238 0.8846 0.1933
3 Nb 0.3053 0.6879 0.6183
4 Nb 0.8762 0.1154 0.8067
5 Ir 0.5000 0.0000 0.0000
6 Rh 0.2892 0.1928 0.5985
7 Rh 0.1053 0.4008 0.2042
8 Rh 0.8947 0.5992 0.7958
9 Rh 0.5000 0.5000 0.0000
10 Rh 0.7108 0.8072 0.4015

Computed properties:
* distance to the lowest polymorph of the same formula: 0.0 kJ/mol of atoms
* E_form: -0.465 eV/atom
* symmetry: P-1

***

Entry 3:
The following is a DFT calculation (PBE) of a relaxed structure of CaLaSbN.

a b c (Å): 4.7754 4.7754 8.9482
angles (deg): 90.00 90.00 90.00
Fractional coordinates of all 8 atoms:
1 Ca 0.0000 0.0000 0.5000
2 Ca 0.5000 0.5000 0.5000
3 La 0.5000 0.0000 0.8197
4 La 0.0000 0.5000 0.1803
5 Sb 0.0000 0.5000 0.7968
6 Sb 0.5000 0.0000 0.2032
7 N 0.0000 0.5000 0.4181
8 N 0.5000 0.0000 0.5819

Computed properties:
* E_form (uncorrected): -1.029 eV per atom
* symmetry: P4/nmm

***

no.,calculated density (g/cm3),spin magnetization (Bohr magnetons per cell)
1,4.9,0.00
2,11.4,0.00
3,5.1,0.00